[1]
Entry from Alexandria: a geometry-optimized KCr2S4 structure (PBE).

Summary:
excess energy over the best structure of this formula in the dataset	228.9	meV per atom
electronic total energy	-82.3	eV for the cell shown
E_form (uncorrected)	-0.614	eV per atom
Fermi-level density of states	4.20	states/eV per cell

Unit cell a=7.2648 b=7.2648 c=7.2648 alpha=111.86 beta=111.86 gamma=104.79
Each line ends with the local moment (μB).
Atoms (fractional coordinates):
K1 0.0000 0.0000 0.0000  -0.02
K2 0.7500 0.2500 0.5000  -0.02
Cr1 0.8750 0.6254 0.2504  2.88
Cr2 0.3754 0.1250 0.7504  2.88
Cr3 0.3750 0.6246 0.7496  2.88
Cr4 0.3746 0.6250 0.2496  2.88
S1 0.5395 0.3652 0.1749  -0.23
S2 0.6355 0.4605 0.8257  -0.23
S3 0.1902 0.3645 0.8251  -0.23
S4 0.6348 0.8098 0.1743  -0.23
S5 0.2105 0.8855 0.3257  -0.23
S6 0.1145 0.4402 0.3251  -0.23
S7 0.5598 0.8848 0.6743  -0.23
S8 0.1152 0.7895 0.6749  -0.23

[2]
Entry from Alexandria: a geometry-optimized K3CrS4 structure (PBE).

Summary:
electronic total energy	-149.4	eV for the cell shown
E_form (uncorrected)	-0.991	eV per atom
Fermi-level density of states	19.73	states/eV per cell

Unit cell a=9.1876 b=9.2556 c=10.6011 alpha=90.00 beta=90.00 gamma=90.00
Each line ends with the local moment (μB).
Atoms (fractional coordinates):
Cr1 0.2810 0.0142 0.7500  1.03
Cr2 0.7810 0.4858 0.7500  1.03
Cr3 0.7190 0.9858 0.2500  1.03
Cr4 0.2190 0.5142 0.2500  1.03
K1 0.3598 0.5809 0.7500  0.00
K2 0.8598 0.9191 0.7500  0.00
K3 0.6402 0.4191 0.2500  0.00
K4 0.1402 0.0809 0.2500  0.00
K5 0.4479 0.7934 0.0451  0.00
K6 0.9479 0.7066 0.4549  0.00
K7 0.5521 0.2066 0.5451  0.00
K8 0.0521 0.2934 0.9549  0.00
K9 0.5521 0.2066 0.9549  0.00
K10 0.0521 0.2934 0.5451  0.00
K11 0.4479 0.7934 0.4549  0.00
K12 0.9479 0.7066 0.0451  0.00
S1 0.1677 0.9506 0.5839  -0.03
S2 0.6677 0.5494 0.9161  -0.03
S3 0.8323 0.0494 0.0839  -0.03
S4 0.3323 0.4506 0.4161  -0.03
S5 0.8323 0.0494 0.4161  -0.03
S6 0.3323 0.4506 0.0839  -0.03
S7 0.1677 0.9506 0.9161  -0.03
S8 0.6677 0.5494 0.5839  -0.03
S9 0.3009 0.2440 0.7500  -0.03
S10 0.8009 0.2560 0.7500  -0.03
S11 0.6991 0.7560 0.2500  -0.03
S12 0.1991 0.7440 0.2500  -0.03
S13 0.4941 0.9203 0.7500  -0.03
S14 0.9941 0.5797 0.7500  -0.03
S15 0.5059 0.0797 0.2500  -0.03
S16 0.0059 0.4203 0.2500  -0.03

[3]
Entry from Alexandria: a geometry-optimized K5Cr2S6 structure (PBE).

Summary:
electronic total energy	-124.8	eV for the cell shown
E_form (uncorrected)	-0.993	eV per atom
Fermi-level density of states	15.29	states/eV per cell

Unit cell a=7.3515 b=7.3515 c=16.2137 alpha=79.36 beta=79.36 gamma=64.34
Each line ends with the local moment (μB).
Atoms (fractional coordinates):
K1 0.6757 0.1960 0.9986  0.00
K2 0.8040 0.3243 0.5014  0.00
K3 0.3243 0.8040 0.0014  0.00
K4 0.1960 0.6757 0.4986  0.00
K5 0.7542 0.9278 0.7238  0.00
K6 0.0722 0.2458 0.7762  0.00
K7 0.2458 0.0722 0.2762  0.00
K8 0.9278 0.7542 0.2238  0.00
K9 0.3808 0.6192 0.7500  0.00
K10 0.6192 0.3808 0.2500  0.00
Cr1 0.3788 0.0801 0.5674  1.40
Cr2 0.9199 0.6212 0.9326  1.40
Cr3 0.6212 0.9199 0.4326  1.40
Cr4 0.0801 0.3788 0.0674  1.40
S1 0.1239 0.0076 0.6247  -0.02
S2 0.9924 0.8761 0.8753  -0.02
S3 0.8761 0.9924 0.3753  -0.02
S4 0.0076 0.1239 0.1247  -0.02
S5 0.4098 0.2953 0.6354  -0.01
S6 0.7047 0.5902 0.8646  -0.01
S7 0.5902 0.7047 0.3646  -0.01
S8 0.2953 0.4098 0.1354  -0.01
S9 0.6587 0.7878 0.5674  -0.03
S10 0.2122 0.3413 0.9326  -0.03
S11 0.3413 0.2122 0.4326  -0.03
S12 0.7878 0.6587 0.0674  -0.03

[4]
Entry from Alexandria: a geometry-optimized K3CrS structure (PBE).

Summary:
excess energy over the best structure of this formula in the dataset	0.0	meV per atom
electronic total energy	-17.2	eV for the cell shown
E_form (uncorrected)	-0.022	eV per atom
Fermi-level density of states	0.00	states/eV per cell

Unit cell a=6.0963 b=6.0963 c=6.0963 alpha=90.00 beta=90.00 gamma=90.00
Each line ends with the local moment (μB).
Atoms (fractional coordinates):
Cr1 0.5000 0.5000 0.5000  4.29
K1 0.0000 0.5000 0.0000  0.00
K2 0.0000 0.0000 0.5000  0.00
K3 0.5000 0.0000 0.0000  0.00
S1 0.0000 0.0000 0.0000  0.00

[5]
Entry from Alexandria: a geometry-optimized K2CrS4 structure (PBE).

Summary:
excess energy over the best structure of this formula in the dataset	0.0	meV per atom
electronic total energy	-137.1	eV for the cell shown
E_form (uncorrected)	-0.849	eV per atom

Unit cell a=6.7562 b=9.4765 c=11.9396 alpha=90.00 beta=90.00 gamma=90.00
Atoms (fractional coordinates):
K1 0.7500 0.5413 0.3397
K2 0.2500 0.4587 0.6603
K3 0.2500 0.9587 0.8397
K4 0.7500 0.0413 0.1603
K5 0.7500 0.8451 0.6085
K6 0.2500 0.1549 0.3915
K7 0.2500 0.6549 0.1085
K8 0.7500 0.3451 0.8915
Cr1 0.7500 0.7514 0.9257
Cr2 0.2500 0.2486 0.0743
Cr3 0.2500 0.7486 0.4257
Cr4 0.7500 0.2514 0.5743
S1 0.5019 0.6567 0.8555
S2 0.4981 0.3432 0.1445
S3 0.4981 0.8432 0.3555
S4 0.0019 0.3432 0.1445
S5 0.5019 0.1568 0.6445
S6 0.9981 0.6567 0.8555
S7 0.9981 0.1568 0.6445
S8 0.0019 0.8432 0.3555
S9 0.7500 0.9680 0.8891
S10 0.2500 0.0320 0.1109
S11 0.2500 0.5320 0.3891
S12 0.7500 0.4680 0.6109
S13 0.7500 0.2159 0.4019
S14 0.2500 0.7841 0.5981
S15 0.2500 0.2841 0.9019
S16 0.7500 0.7159 0.0981

[6]
Entry from Alexandria: a geometry-optimized K5CrS4 structure (PBE).

Summary:
electronic total energy	-82.1	eV for the cell shown
E_form (uncorrected)	-0.945	eV per atom
Fermi-level density of states	10.71	states/eV per cell

Unit cell a=9.3212 b=7.2575 c=9.7449 alpha=90.00 beta=90.00 gamma=90.00
Each line ends with the local moment (μB).
Atoms (fractional coordinates):
K1 0.2362 0.7376 0.1926  0.00
K2 0.7638 0.7376 0.1926  0.00
K3 0.5000 0.1473 0.0000  0.01
K4 0.2362 0.7376 0.8074  0.00
K5 0.7638 0.7376 0.8074  0.00
K6 0.2638 0.2624 0.6926  0.00
K7 0.7362 0.2624 0.6926  0.00
K8 0.0000 0.8527 0.5000  0.01
K9 0.7362 0.2624 0.3074  0.00
K10 0.2638 0.2624 0.3074  0.00
Cr1 0.0000 0.2110 0.0000  2.74
Cr2 0.5000 0.7890 0.5000  2.74
S1 0.0000 0.0469 0.2060  -0.03
S2 0.2110 0.3796 0.0000  -0.04
S3 0.7890 0.3796 0.0000  -0.04
S4 0.0000 0.0469 0.7940  -0.03
S5 0.5000 0.9531 0.7060  -0.03
S6 0.2890 0.6204 0.5000  -0.04
S7 0.7110 0.6204 0.5000  -0.04
S8 0.5000 0.9531 0.2940  -0.03

[7]
Entry from Alexandria: a geometry-optimized KCr2S4 structure (PBE).

Summary:
excess energy over the best structure of this formula in the dataset	23.5	meV per atom
electronic total energy	-42.6	eV for the cell shown
E_form (uncorrected)	-0.820	eV per atom
Fermi-level density of states	6.43	states/eV per cell

Unit cell a=3.5086 b=5.8836 c=7.6374 alpha=89.30 beta=90.00 gamma=90.00
Each line ends with the local moment (μB).
Atoms (fractional coordinates):
K1 0.0000 0.5000 0.0000  0.00
Cr1 0.5000 0.0000 0.5000  2.65
Cr2 0.0000 0.5000 0.5000  2.68
S1 0.0000 0.8406 0.3275  -0.15
S2 0.5000 0.3394 0.3272  -0.13
S3 0.5000 0.6606 0.6728  -0.13
S4 0.0000 0.1594 0.6725  -0.15

[8]
Entry from Alexandria: a geometry-optimized KCr3S structure (PBE).

Summary:
excess energy over the best structure of this formula in the dataset	1457.0	meV per atom
electronic total energy	-22.4	eV for the cell shown
E_form (uncorrected)	2.336	eV per atom
Fermi-level density of states	1.81	states/eV per cell

Unit cell a=5.3839 b=5.3839 c=5.3839 alpha=90.00 beta=90.00 gamma=90.00
Each line ends with the local moment (μB).
Atoms (fractional coordinates):
Cr1 0.0000 0.5000 0.0000  4.28
Cr2 0.0000 0.0000 0.5000  4.21
Cr3 0.5000 0.0000 0.0000  4.37
K1 0.0000 0.0000 0.0000  0.20
S1 0.5000 0.5000 0.5000  -0.11

[9]
Entry from Alexandria: a geometry-optimized K3CrS3 structure (PBE).

Summary:
electronic total energy	-64.6	eV for the cell shown
E_form (uncorrected)	-0.998	eV per atom
Fermi-level density of states	1.75	states/eV per cell

Unit cell a=7.6928 b=7.6928 c=7.6424 alpha=96.67 beta=96.67 gamma=113.16
Each line ends with the local moment (μB).
Atoms (fractional coordinates):
K1 0.6108 0.6108 0.3568  0.01
K2 0.1801 0.8199 0.5000  0.00
K3 0.8199 0.1801 0.5000  0.00
K4 0.2572 0.7428 0.0000  0.01
K5 0.7428 0.2572 0.0000  0.01
K6 0.3892 0.3892 0.6432  0.01
Cr1 0.8413 0.8413 0.8603  2.71
Cr2 0.1587 0.1587 0.1397  2.71
S1 0.8934 0.8934 0.1683  -0.06
S2 0.8479 0.5669 0.7261  -0.02
S3 0.5669 0.8479 0.7261  -0.02
S4 0.1521 0.4331 0.2739  -0.02
S5 0.4331 0.1521 0.2739  -0.02
S6 0.1066 0.1066 0.8317  -0.06

[10]
Entry from Alexandria: a geometry-optimized K2ScCrS4 structure (PBE).

Summary:
electronic total energy	-45.2	eV for the cell shown
E_form (uncorrected)	-1.320	eV per atom

Unit cell a=3.7554 b=6.4669 c=7.5528 alpha=106.80 beta=90.00 gamma=90.00
Each line ends with the local moment (μB).
Atoms (fractional coordinates):
K1 0.5000 0.0000 0.5000  0.00
K2 0.0000 0.5000 0.5000  0.00
Sc1 0.0000 0.0000 0.0000  0.03
Cr1 0.5000 0.5000 0.0000  2.92
S1 0.5000 0.2421 0.1894  -0.02
S2 0.5000 0.7579 0.8106  -0.02
S3 0.0000 0.2866 0.8189  -0.06
S4 0.0000 0.7134 0.1811  -0.06

[11]
Entry from Alexandria: a geometry-optimized K3ScCr2S6 structure (PBE).

Summary:
electronic total energy	-67.9	eV for the cell shown
E_form (uncorrected)	-1.190	eV per atom

Unit cell a=6.4241 b=6.4241 c=7.5137 alpha=98.21 beta=98.21 gamma=119.95
Each line ends with the local moment (μB).
Atoms (fractional coordinates):
K1 0.1633 0.8367 0.5000  0.00
K2 0.8367 0.1633 0.5000  0.00
K3 0.5000 0.5000 0.5000  0.00
Sc1 0.0000 0.0000 0.0000  0.05
Cr1 0.3331 0.6669 0.0000  2.91
Cr2 0.6669 0.3331 0.0000  2.91
S1 0.9390 0.5901 0.8172  -0.05
S2 0.7118 0.7118 0.1818  -0.05
S3 0.0610 0.4099 0.1828  -0.05
S4 0.5901 0.9390 0.8172  -0.05
S5 0.2882 0.2882 0.8182  -0.05
S6 0.4099 0.0610 0.1828  -0.05

[12]
Entry from Alexandria: a geometry-optimized K2CrSnS4 structure (PBE).

Summary:
electronic total energy	-77.0	eV for the cell shown
E_form (uncorrected)	-0.773	eV per atom
Fermi-level density of states	1.15	states/eV per cell

Unit cell a=8.0207 b=8.0207 c=7.7965 alpha=119.08 beta=119.08 gamma=89.69
Each line ends with the local moment (μB).
Atoms (fractional coordinates):
K1 0.5000 0.0000 0.0000  0.00
K2 0.5000 0.0000 0.5000  0.00
K3 0.0000 0.0000 0.5000  -0.01
K4 0.5000 0.5000 0.0000  -0.01
Cr1 0.0000 0.5000 0.0000  2.67
Cr2 0.0000 0.5000 0.5000  2.67
Sn1 0.5000 0.5000 0.5000  -0.12
Sn2 0.0000 0.0000 0.0000  -0.12
S1 0.1830 0.7028 0.9429  -0.12
S2 0.7972 0.3170 0.5571  -0.12
S3 0.2028 0.6830 0.4429  -0.12
S4 0.8170 0.2972 0.0571  -0.12
S5 0.7842 0.7158 0.9819  -0.11
S6 0.7842 0.7158 0.5181  -0.11
S7 0.2158 0.2842 0.4819  -0.11
S8 0.2158 0.2842 0.0181  -0.11

no.,V (Å³/f.u.)
1,147
2,225
3,385
4,227
5,191
6,330
7,158
8,156
9,203
10,176
11,257
12,183